(1)
IrC2N | PBE-GGA | relaxed

Cell lengths 4.3819, 4.3819, 4.7617 Å; angles 62.60, 62.60, 90.00 degrees
With the nearest neighbours (Å) after each atom.
Fractional positions:
C 0.5426 0.1250 0.2500  2 N 1.60
N 0.5000 0.5000 0.0000  4 C 1.60
C 0.8750 0.7926 0.7500  2 N 1.60
C 0.3750 0.4574 0.7500  2 N 1.60
Ir 0.0000 0.0000 0.0000  4 C 2.03
N 0.2500 0.7500 0.5000  4 C 1.60
C 0.2074 0.6250 0.2500  2 N 1.60
Ir 0.7500 0.2500 0.5000  4 C 2.03

Output
The calculation puts the raw formation energy at 1.18 eV/atom.

(2)
K3AgHg2Cl9 | PBE-GGA | relaxed

Cell lengths 7.4366, 7.4366, 9.1270 Å; angles 90.00, 90.00, 120.00 degrees
With the nearest neighbours (Å) after each atom.
Fractional positions:
K 0.3333 0.6667 0.6550  12 Cl 3.62-3.81
Ag 0.0000 0.0000 0.5000  6 Cl 2.60
Cl 0.3308 0.1654 0.6633  1 Ag 2.60, 1 Hg 2.63
K 0.6667 0.3333 0.3450  12 Cl 3.62-3.81
Cl 0.5000 0.5000 0.0000  2 Hg 2.66
Cl 0.6692 0.8346 0.3367  1 Ag 2.60, 1 Hg 2.63
K 0.0000 0.0000 0.0000  12 Cl 3.72-3.74
Cl 0.8346 0.6692 0.6633  1 Ag 2.60, 1 Hg 2.63
Cl 0.5000 0.0000 0.0000  2 Hg 2.66
Cl 0.1654 0.8346 0.3367  1 Ag 2.60, 1 Hg 2.63
Cl 0.8346 0.1654 0.6633  1 Ag 2.60, 1 Hg 2.63
Hg 0.3333 0.6667 0.1723  6 Cl 2.63-2.66
Cl 0.0000 0.5000 0.0000  2 Hg 2.66
Cl 0.1654 0.3308 0.3367  1 Ag 2.60, 1 Hg 2.63
Hg 0.6667 0.3333 0.8277  6 Cl 2.63-2.66

Output
The calculation puts the raw formation energy at -1.06 eV/atom.

(3)
Ac2LaAg2Sn2 | PBE-GGA | relaxed

Cell lengths 4.9044, 4.9044, 10.9102 Å; angles 77.01, 77.01, 60.00 degrees
With the nearest neighbours (Å) after each atom.
Fractional positions:
Ag 0.6104 0.6104 0.1687  3 Sn 2.84
La 0.0000 0.0000 0.0000  6 Ag 3.34, 6 Sn 3.46
Ag 0.3896 0.3896 0.8313  3 Sn 2.84
Sn 0.7296 0.7296 0.8112  3 Ag 2.84
Sn 0.2704 0.2704 0.1888  3 Ag 2.84
Ac 0.1234 0.1234 0.6298  3 Sn 3.42, 3 Ag 3.54
Ac 0.8766 0.8766 0.3702  3 Sn 3.42, 3 Ag 3.54

Output
The formation energy comes out at -0.431 eV per atom.

(4)
PrMgCu | PBE-GGA | relaxed

Cell lengths 3.5876, 4.7664, 4.7664 Å; angles 120.00, 90.00, 90.00 degrees
With the nearest neighbours (Å) after each atom.
Fractional positions:
Pr 0.6670 0.6667 0.3333  6 Cu 3.28-3.29, 6 Mg 3.28-3.29, 2 Pr 3.59
Mg 0.1672 0.3333 0.6667  3 Cu 2.75
Cu 0.1658 0.0000 0.0000  3 Mg 2.75

Output
The formation energy comes out at -0.058 eV per atom.

(5)
Tb6Tm5Mg2 | PBE-GGA | relaxed

Cell lengths 3.5089, 10.2770, 22.4094 Å; angles 90.00, 90.00, 90.00 degrees
With the nearest neighbours (Å) after each atom.
Fractional positions:
Tm 0.5000 0.5000 0.0000  4 Tm 3.44-3.51, 6 Tb 3.47-3.49
Mg 0.0000 0.1719 0.7606  4 Tm 3.12, 4 Tb 3.33-3.44
Tb 0.5000 0.3293 0.1336  2 Mg 3.34, 4 Tm 3.47-3.66, 6 Tb 3.51-3.68
Mg 0.0000 0.6719 0.7394  4 Tm 3.12, 4 Tb 3.33-3.44
Tb 0.5000 0.1707 0.6336  2 Mg 3.34, 4 Tm 3.47-3.66, 6 Tb 3.51-3.68
Tm 0.5000 0.5779 0.2508  4 Mg 3.12
Tb 0.0000 0.1425 0.3823  1 Mg 3.33, 6 Tm 3.49-3.64, 4 Tb 3.51-3.68
Tm 0.5000 0.1656 0.9941  4 Tm 3.41-3.51, 7 Tb 3.52-3.64
Tm 0.5000 0.8344 0.0059  4 Tm 3.41-3.51, 7 Tb 3.52-3.64
Tb 0.0000 0.5184 0.3871  1 Mg 3.44, 4 Tb 3.51-3.67, 6 Tm 3.52-3.57
Mg 0.0000 0.8281 0.2394  4 Tm 3.12, 4 Tb 3.33-3.44
Tb 0.5000 0.6707 0.8664  2 Mg 3.34, 4 Tm 3.47-3.66, 6 Tb 3.51-3.68
Tm 0.5000 0.3344 0.4941  4 Tm 3.41-3.51, 7 Tb 3.52-3.64
Tb 0.0000 0.4816 0.6129  1 Mg 3.44, 4 Tb 3.51-3.67, 6 Tm 3.52-3.57
Tm 0.5000 0.4221 0.7492  4 Mg 3.12
Tb 0.0000 0.9816 0.8871  1 Mg 3.44, 4 Tb 3.51-3.67, 6 Tm 3.52-3.57
Tb 0.5000 0.8293 0.3664  2 Mg 3.34, 4 Tm 3.47-3.66, 6 Tb 3.51-3.68
Tm 0.5000 0.0000 0.5000  4 Tm 3.44-3.51, 6 Tb 3.47-3.49
Tm 0.5000 0.6656 0.5059  4 Tm 3.41-3.51, 7 Tb 3.52-3.64
Tb 0.0000 0.3575 0.8823  1 Mg 3.33, 6 Tm 3.49-3.64, 4 Tb 3.51-3.68
Tb 0.0000 0.0184 0.1129  1 Mg 3.44, 4 Tb 3.51-3.67, 6 Tm 3.52-3.57
Tm 0.5000 0.9221 0.7508  4 Mg 3.12
Tb 0.0000 0.6425 0.1177  1 Mg 3.33, 6 Tm 3.49-3.64, 4 Tb 3.51-3.68
Tb 0.0000 0.8575 0.6177  1 Mg 3.33, 6 Tm 3.49-3.64, 4 Tb 3.51-3.68
Mg 0.0000 0.3281 0.2606  4 Tm 3.12, 4 Tb 3.33-3.44
Tm 0.5000 0.0779 0.2492  4 Mg 3.12

Output
The formation energy comes out at 0.143 eV per atom.

(6)
Y4UTlS8 | PBE-GGA | relaxed

Cell lengths 8.2576, 8.2576, 8.1950 Å; angles 59.75, 59.75, 60.00 degrees
With the nearest neighbours (Å) after each atom.
Fractional positions:
S 0.2313 0.8018 0.7356  1 U 2.68, 2 Y 2.70, 1 Tl 2.85
S 0.2282 0.7548 0.2623  3 Y 2.67-2.85, 1 U 2.88
Y 0.0045 0.0045 0.5007  6 S 2.70-2.88
S 0.8018 0.2313 0.7356  1 U 2.68, 2 Y 2.70, 1 Tl 2.85
U 0.0020 0.0020 0.9941  6 S 2.68-2.88
S 0.2356 0.2356 0.2931  3 Y 2.70, 1 Tl 2.85
Y 0.0045 0.4902 0.5007  6 S 2.70-2.88
S 0.7580 0.7580 0.7260  4 Y 2.67-2.88
S 0.2313 0.2313 0.7356  1 U 2.68, 2 Y 2.70, 1 Tl 2.85
Y 0.6246 0.6246 0.1261  4 S 2.67
Y 0.4902 0.0045 0.5007  6 S 2.70-2.88
S 0.7548 0.7548 0.2623  3 Y 2.67-2.85, 1 U 2.88
Tl 0.3784 0.3784 0.8648  4 S 2.85
S 0.7548 0.2282 0.2623  3 Y 2.67-2.85, 1 U 2.88

Output
The calculation puts the raw formation energy at -1.66 eV/atom.

| no. | magnetic moment (μB per atom) |
| --- | --- |
| 1 | 0.0000 |
| 2 | 0.0000 |
| 3 | 0.0000 |
| 4 | 0.0001 |
| 5 | 0.0002 |
| 6 | 0.2142 |